Record 1
{"formula": "LiTm2Ag", "functional": "PBE", "state": "relaxed", "lattice": [[5.0608, 0.0000, 0.0000], [0.0000, 5.0608, 0.0000], [0.0000, 0.0000, 3.6313]], "species": ["Li", "Tm", "Tm", "Ag"], "frac_coords": [[0.0000, 0.0000, 0.0000], [0.0000, 0.5000, 0.5000], [0.5000, 0.0000, 0.5000], [0.5000, 0.5000, 0.0000]], "magmom_total_mub_per_fu": 0.000, "ef_ev_per_atom": -0.12}

Record 2
{"formula": "Li2TmAg", "functional": "PBE", "state": "relaxed", "lattice": [[3.1304, 0.0000, 0.0000], [-1.5652, 2.7110, 0.0000], [0.0000, 0.0000, 31.0180]], "species": ["Li", "Li", "Li", "Li", "Li", "Li", "Tm", "Tm", "Tm", "Ag", "Ag", "Ag"], "frac_coords": [[0.0000, 0.0000, 0.0981], [0.0000, 0.0000, 0.9019], [0.3333, 0.6667, 0.5686], [0.3333, 0.6667, 0.7648], [0.6667, 0.3333, 0.2352], [0.6667, 0.3333, 0.4314], [0.0000, 0.0000, 0.0000], [0.3333, 0.6667, 0.6667], [0.6667, 0.3333, 0.3333], [0.0000, 0.0000, 0.5000], [0.3333, 0.6667, 0.1667], [0.6667, 0.3333, 0.8333]], "magmom_total_mub_per_fu": 0.000, "ef_ev_per_atom": 0.13}